The following is a PBE+U calculation of a relaxed structure of CoSbN2O, from Alexandria via LeMat-Bulk.

The structure belongs to space group P4/mmm (No. 123); the cell edges are 4.0364, 4.0364 and 3.9183 Å and the angles 90.00°, 90.00° and 90.00°. Symmetry generates all atoms from Co at (0.0000, 0.0000, 0.0000), Sb at (0.5000, 0.5000, 0.5000), N at (0.0000, 0.5000, 0.5000) and O at (0.5000, 0.5000, 0.0000).

The total magnetization is 2.7 μB per cell. The density comes out at 5.8 Mg/m³. The value obtained for the density of states at the Fermi level is 3.67 states/eV per cell. The value obtained for the raw total energy is -26.27 eV/cell.